First-principles (PBE) data for Pr3Sm3Sc after structural relaxation, as listed in the Alexandria database.

Properties
energy relative to the elements: 0.254 eV per atom
energy above the most stable polymorph in this dataset: 208 meV per atom
E_tot: -0.173 hartree per atom
SG: R-3

Cell lengths 8.9128, 8.9128, 8.9128 Å; angles 58.42, 58.42, 58.42 degrees
Fractional coordinates of all 14 atoms:
Pr 0.1957 0.9330 0.7011
Sm 0.4362 0.9331 0.2752
Pr 0.2989 0.8043 0.0670
Sm 0.9331 0.2752 0.4362
Sc 0.6579 0.6579 0.6579
Sc 0.3421 0.3421 0.3421
Sm 0.5638 0.0669 0.7248
Sm 0.7248 0.5638 0.0669
Pr 0.9330 0.7011 0.1957
Pr 0.8043 0.0670 0.2989
Sm 0.0669 0.7248 0.5638
Pr 0.0670 0.2989 0.8043
Pr 0.7011 0.1957 0.9330
Sm 0.2752 0.4362 0.9331

First-principles (PBE) data for NdThZn4 after structural relaxation, as listed in the Alexandria database.

Properties
energy relative to the elements: -0.247 eV per atom
energy above the most stable polymorph in this dataset: 24 meV per atom
E_tot: -0.115 hartree per atom
SG: I-4m2

Cell lengths 4.2126, 4.2126, 8.1802 Å; angles 104.92, 104.92, 90.00 degrees
Fractional coordinates of all 6 atoms:
Zn 0.5822 0.5822 0.1644
Nd 0.2500 0.7500 0.5000
Zn 0.8326 0.3326 0.6653
Th 0.0000 0.0000 0.0000
Zn 0.4178 0.4178 0.8356
Zn 0.6674 0.1674 0.3347

First-principles (PBE) data for SrGa2PtPb after structural relaxation, as listed in the Alexandria database.

Properties
energy relative to the elements: 0.591 eV per atom
E_tot: -0.107 hartree per atom
SG: P4/mmm

Cell lengths 5.3058, 6.4317, 5.3058 Å; angles 90.00, 90.00, 90.00 degrees
Fractional coordinates of all 5 atoms:
Pb 0.0000 0.0000 0.0000
Sr 0.0000 0.5000 0.0000
Ga 0.5000 0.0000 0.0000
Ga 0.0000 0.0000 0.5000
Pt 0.5000 0.5000 0.5000

First-principles (PBE) data for CaY2AgO5 after structural relaxation, as listed in the Alexandria database.

Properties
formation energy from raw total energies: -2386 meV per atom
E_tot: -0.262 hartree per atom
SG: P4/mbm

Cell lengths 6.0058, 6.4948, 6.4948 Å; angles 90.00, 90.00, 90.00 degrees
Fractional coordinates of all 18 atoms:
O 0.2565 0.1519 0.6519
Ca 0.0000 0.0000 0.0000
Y 0.5000 0.1717 0.3283
Y 0.5000 0.8283 0.6717
Ag 0.0000 0.0000 0.5000
Y 0.5000 0.3283 0.8283
O 0.7435 0.8481 0.3481
Y 0.5000 0.6717 0.1717
O 0.7435 0.6519 0.8481
Ag 0.0000 0.5000 0.0000
O 0.2565 0.3481 0.1519
Ca 0.0000 0.5000 0.5000
O 0.5000 0.5000 0.5000
O 0.5000 0.0000 0.0000
O 0.2565 0.8481 0.3481
O 0.7435 0.3481 0.1519
O 0.2565 0.6519 0.8481
O 0.7435 0.1519 0.6519

First-principles (PBE) data for BaSiSe2O8 after structural relaxation, as listed in the Alexandria database.

Properties
formation energy from raw total energies: -1354 meV per atom
E_tot: -0.215 hartree per atom
SG: C2/m

Cell lengths 5.0927, 5.3536, 7.5335 Å; angles 71.61, 70.24, 61.60 degrees
Fractional coordinates of all 12 atoms:
Ba 0.5000 0.5000 0.5000
O 0.7000 0.9095 0.1855
O 0.7950 0.0905 0.8145
O 0.2028 0.6587 0.9357
O 0.1766 0.2563 0.3904
O 0.8234 0.7437 0.6096
Si 0.0000 0.0000 0.0000
Se 0.3211 0.1916 0.1662
O 0.7972 0.3413 0.0643
O 0.2050 0.9095 0.1855
Se 0.6789 0.8084 0.8338
O 0.3000 0.0905 0.8145

First-principles (PBE) data for Sc2Si3Pt after structural relaxation, as listed in the Alexandria database.

Properties
formation energy from raw total energies: -848 meV per atom
E_tot: -0.245 hartree per atom
SG: Cm

Cell lengths 4.0542, 5.3438, 5.3750 Å; angles 74.67, 67.84, 67.71 degrees
Fractional coordinates of all 6 atoms:
Sc 0.4326 0.8107 0.3241
Si 0.8371 0.2206 0.1051
Si 0.8532 0.6095 0.6840
Pt 0.1645 0.3935 0.2774
Sc 0.5572 0.1802 0.7054
Si 0.1553 0.7854 0.9039

First-principles (PBE) data for MnIr2W after structural relaxation, as listed in the Alexandria database.

Properties
energy relative to the elements: 0.154 eV per atom
energy above the most stable polymorph in this dataset: 417 meV per atom
E_tot: -0.360 hartree per atom
SG: F-43m

Cell lengths 4.3623, 4.3623, 4.3623 Å; angles 60.00, 60.00, 60.00 degrees
Fractional coordinates of all 4 atoms:
Ir 0.0000 0.0000 0.0000
Ir 0.2500 0.2500 0.2500
W 0.7500 0.7500 0.7500
Mn 0.5000 0.5000 0.5000

First-principles (PBE) data for NbCuHgPd after structural relaxation, as listed in the Alexandria database.

Properties
energy relative to the elements: 0.032 eV per atom
E_tot: -0.179 hartree per atom
SG: F-43m

Cell lengths 4.5385, 4.5385, 4.5385 Å; angles 60.00, 60.00, 60.00 degrees
Fractional coordinates of all 4 atoms:
Pd 0.7500 0.7500 0.7500
Nb 0.5000 0.5000 0.5000
Hg 0.0000 0.0000 0.0000
Cu 0.2500 0.2500 0.2500